No. 1
# Ho2MgHg6 | the Alexandria database | PBE | optimized geometry
data_Ho2MgHg6
_space_group_name_H-M_alt 'C 1 2/m 1'
_space_group_IT_number 12
_cell_length_a 13.0074
_cell_length_b 6.4575
_cell_length_c 5.2481
_cell_angle_alpha 90.00
_cell_angle_beta 98.81
_cell_angle_gamma 90.00
loop_
_space_group_symop_operation_xyz
'x,y,z'
'-x,-y,-z'
'-x,y,-z'
'x,-y,z'
'x+1/2,y+1/2,z'
'-x+1/2,-y+1/2,-z'
'-x+1/2,y+1/2,-z'
'x+1/2,-y+1/2,z'
loop_
_atom_site_label
_atom_site_fract_x
_atom_site_fract_y
_atom_site_fract_z
_atom_site_occupancy
Ho1 0.1523 0.0000 0.1923 1
Mg1 0.0000 0.5000 0.0000 1
Hg1 0.1019 0.2517 0.6791 1
Hg2 0.1997 0.5000 0.2567 1
# Density of states at the Fermi level (states/eV/atom): 0.390
# DFT total energy (eV per atom): -1.64
# E_form (eV/atom): -0.241

No. 2
# HfPaCuOs | the Alexandria database | PBE | optimized geometry
data_HfPaCuOs
_space_group_name_H-M_alt 'F -4 3 m'
_space_group_IT_number 216
_space_group_name_Hall 'F -4 2 3'
_cell_length_a 6.7222
_cell_length_b 6.7222
_cell_length_c 6.7222
_cell_angle_alpha 90.00
_cell_angle_beta 90.00
_cell_angle_gamma 90.00
loop_
_atom_site_label
_atom_site_fract_x
_atom_site_fract_y
_atom_site_fract_z
_atom_site_occupancy
Hf1 0.0000 0.0000 0.0000 1
Pa1 0.0000 0.0000 0.5000 1
Cu1 0.2500 0.2500 0.2500 1
Os1 0.2500 0.2500 0.7500 1
# Density of states at the Fermi level (states/eV/atom): 1.198
# DFT total energy (eV per atom): -8.85
# E_form (eV/atom): -0.153

No. 3
# AgSn4I2 | the Alexandria database | PBE | optimized geometry
data_AgSn4I2
_space_group_name_H-M_alt 'I 4/m m m'
_space_group_IT_number 139
_space_group_name_Hall '-I 4 2'
_cell_length_a 5.3913
_cell_length_b 5.3913
_cell_length_c 18.2513
_cell_angle_alpha 90.00
_cell_angle_beta 90.00
_cell_angle_gamma 90.00
loop_
_atom_site_label
_atom_site_fract_x
_atom_site_fract_y
_atom_site_fract_z
_atom_site_occupancy
Ag1 0.0000 0.0000 0.0000 1
Sn1 0.0000 0.0000 0.1500 1
Sn2 0.0000 0.5000 0.0000 1
I1 0.0000 0.0000 0.3702 1
# Density of states at the Fermi level (states/eV/atom): 0.655
# DFT total energy (eV per atom): -2.85
# ΔE_f (raw) (eV per atom): 0.290